Y2AlHg: optimized geometry, GGA-PBE.

It has space group Amm2 (No. 38), with a = 4.6095 Å, b = 3.8023 Å, c = 11.6659 Å, α = 90.00°, β = 90.00° and γ = 90.00°. The distinct sites, in fractional coordinates, are Y at (0.0000, 0.0000, 0.0000), Y at (0.5000, 0.0000, 0.3045), Al at (0.5000, 0.0000, 0.5760) and Hg at (0.0000, 0.0000, 0.7256).

The calculation puts the energy above the most stable polymorph in this dataset at 22 meV/atom. As for the total energy: -4.6820 eV per atom. The calculation puts the calculated volume at 25.558 Å³/atom.


LaCdSe: optimized geometry, GGA-PBE.

It has space group F-43m (No. 216), with a = 7.1665 Å, b = 7.1665 Å, c = 7.1665 Å, α = 90.00°, β = 90.00° and γ = 90.00°. The distinct sites, in fractional coordinates, are La at (0.0000, 0.0000, 0.0000), Cd at (0.0000, 0.0000, 0.5000) and Se at (0.2500, 0.2500, 0.2500).

The calculation puts the energy above the most stable polymorph in this dataset at 425 meV/atom. As for the total energy: -3.8825 eV per atom. The calculation puts the calculated volume at 30.672 Å³/atom.


SiAs2Cl: optimized geometry, GGA-PBE.

It has space group Imm2 (No. 44), with a = 3.6141 Å, b = 3.6214 Å, c = 13.6866 Å, α = 90.00°, β = 90.00° and γ = 90.00°. The distinct sites, in fractional coordinates, are Si at (0.0000, 0.0000, 0.0000), As at (0.0000, 0.0000, 0.4651), As at (0.0000, 0.5000, 0.6305) and Cl at (0.0000, 0.5000, 0.2390).

The calculation puts the energy above the most stable polymorph in this dataset at 192 meV/atom. As for the total energy: -4.0035 eV per atom. The calculation puts the calculated volume at 22.392 Å³/atom.


PmPrSc2: optimized geometry, GGA-PBE.

It has space group P4/mmm (No. 123), with a = 5.5872 Å, b = 5.5872 Å, c = 3.7896 Å, α = 90.00°, β = 90.00° and γ = 90.00°. The distinct sites, in fractional coordinates, are Pm at (0.0000, 0.0000, 0.0000), Pr at (0.5000, 0.5000, 0.0000) and Sc at (0.0000, 0.5000, 0.5000).

The calculation puts the energy above the most stable polymorph in this dataset at 22 meV/atom. As for the total energy: -5.4753 eV per atom. The calculation puts the calculated volume at 29.574 Å³/atom.


TaSb2As: optimized geometry, GGA-PBE.

It has space group C2/m (No. 12), with a = 9.9379 Å, b = 3.4608 Å, c = 5.1584 Å, α = 90.00°, β = 96.60° and γ = 90.00°. The distinct sites, in fractional coordinates, are Ta at (0.0000, 0.0000, 0.0000), Sb at (0.2219, 0.5000, 0.2287) and As at (0.0000, 0.5000, 0.5000).

As for the total energy: -5.8632 eV per atom. The calculation puts the calculated volume at 22.030 Å³/atom.


TaRe: optimized geometry, GGA-PBE.

It has space group F-43m (No. 216), with a = 5.8535 Å, b = 5.8535 Å, c = 5.8535 Å, α = 90.00°, β = 90.00° and γ = 90.00°. The distinct sites, in fractional coordinates, are Ta at (0.0000, 0.0000, 0.0000) and Re at (0.2500, 0.2500, 0.7500).

As for the total energy: -10.1127 eV per atom. The calculation puts the calculated volume at 25.070 Å³/atom.